[1]
The following is a DFT calculation (PBE-GGA) of CaBeZn after structural relaxation.

## Properties
Total DFT energy (no corrections): -13.2 eV per cell
Calculated formation energy: 0.14 eV/atom
Space group: No. 63
Distance to the lowest polymorph of the same formula: 0.102 eV per atom
Crystal system: orthorhombic

Unit cell a=4.1493 b=4.6701 c=7.2269 alpha=71.15 beta=90.00 gamma=90.00
Element x y z (fractional)
Be 0.5000 0.0000 0.0000
Ca 0.7500 0.6220 0.7560
Ca 0.2500 0.3780 0.2440
Zn 0.7500 0.8477 0.3046
Zn 0.2500 0.1523 0.6954
Be 0.0000 0.0000 0.0000

---

[2]
The following is a DFT calculation (PBE-GGA) of CaBe3Zn after structural relaxation.

## Properties
Total DFT energy (no corrections): -12.3 eV per cell
Calculated formation energy: 0.43 eV/atom
Space group: No. 221
Distance to the lowest polymorph of the same formula: 0.000 eV per atom
Crystal system: cubic

Unit cell a=4.2876 b=4.2876 c=4.2876 alpha=90.00 beta=90.00 gamma=90.00
Element x y z (fractional)
Be 0.0000 0.5000 0.0000
Be 0.0000 0.0000 0.5000
Ca 0.5000 0.5000 0.5000
Zn 0.0000 0.0000 0.0000
Be 0.5000 0.0000 0.0000